No. 1
10
Lattice="-1.091 -0.688 -7.401 -6.374 -3.760 1.290 -1.727 2.922 -0.017" Properties=species:S:1:pos:R:3 comment="Li2Ag2Bi | Alexandria | PBE | optimized geometry" crystal_system=tetragonal de_polymorph_mev_per_atom=111.8 mass_density_g_cm3=7.6 pbc="T T T"
Li -2.438 -1.444 -0.588
Li -5.028 -3.004 -5.523
Li -1.604 -0.975 -4.567
Li -5.861 -3.473 -1.544
Ag -4.090 -0.481 -5.904
Ag -2.153 0.684 -2.485
Ag -5.102 -1.046 -0.224
Ag -7.039 -2.210 -3.643
Bi -3.733 -2.224 -3.055
Bi 0.000 0.000 0.000

***

No. 2
13
Lattice="5.472 0.000 0.000 2.736 4.739 0.000 2.736 1.580 10.570" Properties=species:S:1:pos:R:3 comment="Li3Ag8Bi2 | Alexandria | PBE | optimized geometry" crystal_system=trigonal mass_density_g_cm3=7.9 total_energy_ev_per_atom=-2.79 pbc="T T T"
Ag 4.100 2.367 7.035
Ag 5.472 1.575 3.536
Ag 2.736 1.580 2.179
Ag 4.100 3.952 3.536
Ag 8.208 4.739 8.392
Ag 6.844 3.952 3.536
Ag 6.844 2.367 7.035
Ag 5.472 4.744 7.035
Li 0.000 0.000 0.000
Li 8.208 4.739 5.789
Li 2.736 1.580 4.781
Bi 5.472 3.159 9.756
Bi 5.472 3.159 0.814

***

No. 3
12
Lattice="3.315 0.000 0.000 0.000 9.992 -0.934 -1.657 -3.944 7.484" Properties=species:S:1:pos:R:3 comment="Li3Ag2Bi | Alexandria | PBE | optimized geometry" crystal_system=monoclinic de_polymorph_mev_per_atom=132.0 mass_density_g_cm3=6.3 pbc="T T T"
Ag 1.657 1.825 3.476
Ag 0.000 4.222 3.074
Ag 1.657 4.991 5.352
Ag 0.000 1.056 1.198
Li 0.000 -0.516 3.540
Li 0.000 5.874 0.698
Li 0.000 2.709 5.499
Li 1.657 6.563 3.011
Li 1.657 3.339 1.051
Li 1.657 0.173 5.852
Bi 0.000 -2.219 6.098
Bi 1.657 8.266 0.453

***

No. 4
16
Lattice="-3.551 3.085 1.249 -0.628 -3.048 -3.743 -6.912 -12.566 11.394" Properties=species:S:1:pos:R:3 comment="Li5AgBi2 | Alexandria | PBE | optimized geometry" crystal_system=hexagonal mass_density_g_cm3=5.0 total_energy_ev_per_atom=-2.85 pbc="T T T"
Ag -3.331 -4.145 0.770
Ag -7.761 -8.383 8.130
Li -2.978 0.313 0.245
Li -4.411 -8.020 7.272
Li -8.114 -12.841 8.655
Li -5.956 -10.828 9.818
Li -0.956 -1.737 1.575
Li -4.305 -2.100 2.433
Li -6.786 -10.428 6.467
Li -5.632 -4.514 4.621
Li -5.459 -8.015 4.278
Li -2.500 -4.546 4.122
Bi -2.310 -2.290 -0.912
Bi -4.351 -6.000 2.451
Bi -8.781 -10.238 9.812
Bi -6.740 -6.528 6.448

***

No. 5
10
Lattice="6.848 0.000 0.000 3.424 5.930 0.000 3.424 1.977 5.591" Properties=species:S:1:pos:R:3 comment="LiAg7Bi2 | Alexandria | PBE | optimized geometry" crystal_system=cubic mass_density_g_cm3=8.6 total_energy_ev_per_atom=-2.55 pbc="T T T"
Ag 8.679 2.896 4.291
Ag 6.848 3.954 2.796
Ag 5.017 2.896 4.291
Ag 6.848 1.839 1.301
Ag 5.017 5.011 1.301
Ag 8.679 5.011 1.301
Ag 6.848 6.068 4.291
Bi 3.424 1.977 1.398
Bi 10.272 5.930 4.193
Li 0.000 0.000 0.000

***

No. 6
5
Lattice="3.960 0.000 0.000 0.000 3.960 0.000 1.980 1.980 6.305" Properties=species:S:1:pos:R:3 comment="Li2Ag2Bi | Alexandria | PBE | optimized geometry" crystal_system=tetragonal de_polymorph_mev_per_atom=169.5 mass_density_g_cm3=7.4 pbc="T T T"
Li 3.960 3.960 5.011
Li 1.980 1.980 1.294
Bi 0.000 0.000 0.000
Ag 1.980 3.960 3.152
Ag 3.960 1.980 3.152